DFT (PBE with a Hubbard U) results for an optimized crystal structure of LiNi2OF3. Values from VASP.

```
&SYSTEM
  ibrav = 0, nat = 14, ntyp = 4
/
ATOMIC_SPECIES
Li 6.94 Li.upf
Ni 58.69 Ni.upf
O 16.00 O.upf
F 19.00 F.upf
CELL_PARAMETERS angstrom
-5.028 -2.699 -1.780
-2.678 -3.982 3.564
-5.296 1.477 2.684
ATOMIC_POSITIONS angstrom
Li -5.306 -4.225 1.319
Li -7.696 -0.980 3.149
Ni 0.000 0.000 0.000
Ni -3.987 -1.253 3.124
Ni -2.648 0.738 1.342
Ni -5.162 -0.611 0.452
O -9.564 -4.158 3.208
O -3.438 -1.047 1.261
F -8.509 -1.860 1.555
F -5.717 -2.676 0.131
F -5.891 -0.455 2.482
F -4.493 -3.344 2.914
F -7.111 -4.750 1.987
F -7.285 -2.529 4.337
```

Values from the calculation:
Fermi-level density of states = 0.00 states/eV per atom
total magnetization = 8.00 μB/cell
energy above the most stable polymorph in this dataset = 0.029 eV/atom